Entry 1:
Below is an optimized crystal structure of Na7Cd2Au2, with properties calculated at the PBE-GGA level.

The calculation puts the energy at -1.687 eV/atom. As for the volume: 336.1 Å³/cell. The distance to the lowest polymorph of the same formula comes out at 53 meV per atom.

Cell lengths 6.9156, 6.9156, 7.3619 Å; angles 90.00, 90.00, 107.31 degrees
Sites, in units of the cell vectors:
Na 0.0000 0.0000 0.0000
Na 0.0000 0.5000 0.2770
Na 0.0000 0.5000 0.7230
Na 0.5000 0.0000 0.2770
Na 0.5000 0.0000 0.7230
Na 0.5000 0.5000 0.2473
Na 0.5000 0.5000 0.7527
Cd 0.1706 0.1706 0.5000
Cd 0.8294 0.8294 0.5000
Au 0.2856 0.7144 0.0000
Au 0.7144 0.2856 0.0000

***

Entry 2:
Below is an optimized crystal structure of Pr3ZnRh8, with properties calculated at the PBE-GGA level.

The calculation puts the energy at -6.682 eV/atom. As for the volume: 219.4 Å³/cell.

Cell lengths 9.3140, 9.3140, 9.3140 Å; angles 33.52, 33.52, 33.52 degrees
Sites, in units of the cell vectors:
Pr 0.0000 0.0000 0.0000
Pr 0.1291 0.1291 0.1291
Pr 0.5125 0.5125 0.5125
Zn 0.6380 0.6380 0.6380
Rh 0.0643 0.5660 0.5660
Rh 0.0686 0.0686 0.5684
Rh 0.0686 0.5684 0.0686
Rh 0.3165 0.3165 0.3165
Rh 0.5660 0.0643 0.5660
Rh 0.5660 0.5660 0.0643
Rh 0.5684 0.0686 0.0686
Rh 0.8168 0.8168 0.8168

***

Entry 3:
Below is an optimized crystal structure of Li3Mo, with properties calculated at the PBE-GGA level.

The calculation puts the energy at -3.761 eV/atom. As for the volume: 257.0 Å³/cell. The distance to the lowest polymorph of the same formula comes out at 150 meV per atom.

Cell lengths 4.6092, 9.4460, 5.9018 Å; angles 90.00, 90.00, 90.00 degrees
Sites, in units of the cell vectors:
Li 0.1092 0.2500 0.1407
Li 0.2448 0.5124 0.8994
Li 0.2448 0.9876 0.8994
Li 0.2552 0.0124 0.3994
Li 0.2552 0.4876 0.3994
Li 0.3908 0.7500 0.6407
Li 0.6092 0.2500 0.3593
Li 0.7448 0.5124 0.6006
Li 0.7448 0.9876 0.6006
Li 0.7552 0.0124 0.1006
Li 0.7552 0.4876 0.1006
Li 0.8908 0.7500 0.8593
Mo 0.0650 0.2500 0.6908
Mo 0.4350 0.7500 0.1908
Mo 0.5650 0.2500 0.8092
Mo 0.9350 0.7500 0.3092

***

Entry 4:
Below is an optimized crystal structure of Hf2CoSeN, with properties calculated at the PBE-GGA level.

Its uncorrected formation energy is 0.95 eV/atom. The calculation puts the energy at -6.816 eV/atom. As for the volume: 93.3 Å³/cell.

Cell lengths 5.0083, 5.0083, 3.7195 Å; angles 90.00, 90.00, 90.00 degrees
Sites, in units of the cell vectors:
Hf 0.0000 0.5000 0.0000
Hf 0.5000 0.0000 0.0000
Co 0.0000 0.0000 0.5000
Se 0.5000 0.5000 0.0000
N 0.5000 0.5000 0.5000

***

Entry 5:
Below is an optimized crystal structure of Na2CaCl3, with properties calculated at the PBE-GGA level.

Its uncorrected formation energy is -1.67 eV/atom. The calculation puts the energy at -3.368 eV/atom. As for the volume: 191.5 Å³/cell.

Cell lengths 9.1914, 9.1914, 4.1281 Å; angles 102.62, 102.62, 34.33 degrees
Sites, in units of the cell vectors:
Na 0.1617 0.1617 0.1593
Na 0.8383 0.8383 0.8407
Ca 0.5000 0.5000 0.5000
Cl 0.0000 0.0000 0.5000
Cl 0.3922 0.3922 0.8951
Cl 0.6078 0.6078 0.1049

***

Entry 6:
Below is an optimized crystal structure of PrNdSmZn, with properties calculated at the PBE-GGA level.

The calculation puts the energy at -3.832 eV/atom. As for the volume: 117.7 Å³/cell. The distance to the lowest polymorph of the same formula comes out at 206 meV per atom.

Cell lengths 5.5002, 5.5002, 5.5002 Å; angles 60.00, 60.00, 60.00 degrees
Sites, in units of the cell vectors:
Pr 0.0000 0.0000 0.0000
Nd 0.5000 0.5000 0.5000
Sm 0.7500 0.7500 0.7500
Zn 0.2500 0.2500 0.2500

***

Entry 7:
Below is an optimized crystal structure of InHAu, with properties calculated at the PBE-GGA level.

The calculation puts the energy at -3.123 eV/atom. As for the volume: 135.4 Å³/cell. The distance to the lowest polymorph of the same formula comes out at 0 meV per atom.

Cell lengths 3.9867, 3.9867, 8.9482 Å; angles 102.50, 102.50, 90.07 degrees
Sites, in units of the cell vectors:
In 0.1727 0.1727 0.3454
In 0.8273 0.8273 0.6546
H 0.4777 0.4777 0.9536
H 0.5223 0.5223 0.0464
Au 0.3425 0.3425 0.6860
Au 0.6575 0.6575 0.3140

***

Entry 8:
Below is an optimized crystal structure of Er2Al2Cd3, with properties calculated at the PBE-GGA level.

The calculation puts the energy at -3.054 eV/atom. As for the volume: 158.5 Å³/cell.

Cell lengths 10.7230, 10.7230, 3.4059 Å; angles 90.00, 90.00, 156.12 degrees
Sites, in units of the cell vectors:
Er 0.1594 0.8406 0.0000
Er 0.8406 0.1594 0.0000
Al 0.2831 0.7169 0.5000
Al 0.7169 0.2831 0.5000
Cd 0.0000 0.0000 0.0000
Cd 0.4257 0.5743 0.5000
Cd 0.5743 0.4257 0.5000

***

> Number 1 is which compound?

Na7Cd2Au2